# SbMo2IrOs | Alexandria via LeMat-Bulk | GGA-PBE | relaxed
data_SbMo2IrOs
_chemical_formula_sum 'Sb1 Mo2 Ir1 Os1'
_cell_length_a 4.746
_cell_length_b 4.746
_cell_length_c 4.820
_cell_angle_alpha 90.00
_cell_angle_beta 90.00
_cell_angle_gamma 90.00
_symmetry_space_group_name_H-M 'P 4/m m m'
_symmetry_Int_Tables_number 123
_symmetry_space_group_name_Hall '-P 4 2'
loop_
_atom_site_label
_atom_site_fract_x
_atom_site_fract_y
_atom_site_fract_z
_atom_site_occupancy
Sb1 0.000 0.000 0.000 1
Mo1 0.000 0.500 0.500 1
Ir1 0.500 0.500 0.000 1
Os1 0.500 0.500 0.500 1
# * formation energy from raw total energies: 1.49 eV per atom
# * calculated volume: 21.7 A^3/atom
# * M_tot: 0.7 Bohr magnetons per cell
# * E_tot: -38.4 eV/f.u.